#w
This record from Alexandria describes FeSn2GeBr after structural relaxation. The functional is PBE.

Computed properties:
* space-group type: P4/mmm, No. 123
* magnetic moment: 2.3 μB/f.u.

Unit cell a=5.549 b=4.339 c=5.549 alpha=90.00 beta=90.00 gamma=90.00
Site moments in Bohr magnetons follow the coordinates.
Element x y z (fractional)
Ge (0.500, 0.500, 0.500)  0.04
Sn (0.000, 0.000, 0.500)  -0.03
Sn (0.500, 0.000, 0.000)  -0.07
Br (0.000, 0.000, 0.000)  0.01
Fe (0.000, 0.500, 0.000)  2.37


#x
This record from Alexandria describes FeSn2GeBr after structural relaxation. The functional is PBE.

Computed properties:
* space-group type: P4/mmm, No. 123
* magnetic moment: 0.6 μB/f.u.

Unit cell a=5.046 b=5.046 c=4.519 alpha=90.00 beta=90.00 gamma=90.00
Site moments in Bohr magnetons follow the coordinates.
Element x y z (fractional)
Ge (0.000, 0.000, 0.500)  -0.02
Sn (0.000, 0.500, 0.000)  0.00
Sn (0.500, 0.000, 0.000)  0.00
Br (0.500, 0.500, 0.500)  -0.02
Fe (0.000, 0.000, 0.000)  0.64


Sorted by energy, starting with the most stable: #x, #w.


#w
This record from Alexandria describes FeH3Br after structural relaxation. The functional is PBE.

Computed properties:
* space-group type: Pm-3m, No. 221
* magnetic moment: 3.7 μB/f.u.

Unit cell a=3.887 b=3.887 c=3.887 alpha=90.00 beta=90.00 gamma=90.00
Site moments in Bohr magnetons follow the coordinates.
Element x y z (fractional)
H (0.000, 0.500, 0.000)  0.00
H (0.000, 0.000, 0.500)  0.01
H (0.500, 0.000, 0.000)  0.01
Fe (0.500, 0.500, 0.500)  3.35
Br (0.000, 0.000, 0.000)  0.03


#x
This record from Alexandria describes FeH3Br after structural relaxation. The functional is PBE.

Computed properties:
* space-group type: Pm-3m, No. 221
* magnetic moment: 2.8 μB/f.u.

Unit cell a=3.621 b=3.621 c=3.621 alpha=90.00 beta=90.00 gamma=90.00
Site moments in Bohr magnetons follow the coordinates.
Element x y z (fractional)
H (0.000, 0.500, 0.000)  -0.05
H (0.000, 0.000, 0.500)  -0.03
H (0.500, 0.000, 0.000)  -0.02
Fe (0.000, 0.000, 0.000)  2.66
Br (0.500, 0.500, 0.500)  0.19


Sorted by energy, starting with the most stable: #x, #w.


#w
This record from Alexandria describes FeH2Br after structural relaxation. The functional is PBE.

Computed properties:
* space-group type: Fm-3m, No. 225
* magnetic moment: 0.0 μB/f.u.

Unit cell a=3.780 b=3.780 c=3.780 alpha=60.00 beta=60.00 gamma=60.00
Element x y z (fractional)
H (0.250, 0.250, 0.250)
H (0.750, 0.750, 0.750)
Fe (0.000, 0.000, 0.000)
Br (0.500, 0.500, 0.500)


#x
This record from Alexandria describes FeH2Br after structural relaxation. The functional is PBE.

Computed properties:
* space-group type: I-42d, No. 122
* magnetic moment: 2.9 μB/f.u.

Unit cell a=6.009 b=6.009 c=5.060 alpha=53.58 beta=53.58 gamma=90.00
Site moments in Bohr magnetons follow the coordinates.
Element x y z (fractional)
H (0.314, 0.125, 0.250)  -0.04
H (0.436, 0.625, 0.250)  -0.04
H (0.375, 0.686, 0.750)  -0.04
H (0.875, 0.564, 0.750)  -0.02
Fe (0.500, 0.500, 0.000)  2.84
Fe (0.250, 0.750, 0.500)  2.83
Br (0.000, 0.000, 0.000)  0.04
Br (0.750, 0.250, 0.500)  0.04


Sorted by energy, starting with the most stable: #x, #w.


#w
This record from Alexandria describes Fe2HBr after structural relaxation. The functional is PBE.

Computed properties:
* space-group type: Fm-3m, No. 225
* magnetic moment: 0.0 μB/f.u.

Unit cell a=3.890 b=3.890 c=3.890 alpha=60.00 beta=60.00 gamma=60.00
Element x y z (fractional)
H (0.000, 0.000, 0.000)
Fe (0.250, 0.250, 0.250)
Fe (0.750, 0.750, 0.750)
Br (0.500, 0.500, 0.500)


#x
This record from Alexandria describes Fe2HBr after structural relaxation. The functional is PBE.

Computed properties:
* space-group type: I-42d, No. 122
* magnetic moment: 0.0 μB/f.u.

Unit cell a=4.514 b=4.514 c=5.510 alpha=65.82 beta=65.82 gamma=90.00
Element x y z (fractional)
H (0.500, 0.500, 0.000)
H (0.250, 0.750, 0.500)
Fe (0.498, 0.125, 0.250)
Fe (0.252, 0.625, 0.250)
Fe (0.375, 0.502, 0.750)
Fe (0.875, 0.748, 0.750)
Br (0.000, 0.000, 0.000)
Br (0.750, 0.250, 0.500)


Sorted by energy, starting with the most stable: #x, #w.